! LiTc2As PBE relaxed; values from VASP
&SYSTEM
  ibrav = 0, nat = 4, ntyp = 3
/
ATOMIC_SPECIES
As 74.92 As.upf
Li 6.94 Li.upf
Tc 98.00 Tc.upf
ATOMIC_POSITIONS crystal
As 0.504 0.504 0.504
Li 0.751 0.751 0.751
Tc 0.995 0.995 0.995
Tc 0.249 0.249 0.249
CELL_PARAMETERS angstrom
8.873 0.002 0.001
8.416 2.810 0.001
8.416 1.369 2.454
! **Density of states at the Fermi level**: 2.7 states/eV/f.u.
! **Formation enthalpy at 0 K**: 0.04 eV per atom
! **Total moment**: 0.00 μB per formula unit